{"formula": "NpCoB2O8", "functional": "GGA+U", "state": "optimized geometry", "lattice_angstrom": [[5.114, 0.000, 0.000], [-2.557, 4.429, 0.000], [0.000, 0.000, 6.057]], "species": ["Np", "Co", "B", "B", "O", "O", "O", "O", "O", "O", "O", "O"], "frac_coords": [[0.000, 0.000, 0.000], [0.000, 0.000, 0.500], [0.333, 0.667, 0.697], [0.667, 0.333, 0.303], [0.175, 0.350, 0.780], [0.175, 0.825, 0.780], [0.333, 0.667, 0.464], [0.350, 0.175, 0.220], [0.650, 0.825, 0.780], [0.667, 0.333, 0.536], [0.825, 0.175, 0.220], [0.825, 0.650, 0.220]], "sg": "No. 164", "e_tot_ev_per_atom": -7.576, "dos_at_fermi_per_ev_fu": 9.9}